Record 1
Entry from the Alexandria database: an optimized crystal structure of K2Na2PaO4 (PBE).

Properties
V ... 179 Å³ per cell
Uncorrected energy ... -5.91 eV/atom

Lattice parameters (Å, degrees): 7.641 7.641 6.729 95.54 95.54 27.27
Fractional positions:
K: 0.108 0.108 0.049
K: 0.892 0.892 0.951
Na: 0.304 0.304 0.378
Na: 0.696 0.696 0.622
Pa: 0.000 0.000 0.500
O: 0.136 0.136 0.446
O: 0.471 0.471 0.290
O: 0.529 0.529 0.710
O: 0.864 0.864 0.554

Record 2
Entry from the Alexandria database: an optimized crystal structure of KNaPa2O6 (PBE).

Properties
V ... 161 Å³ per cell
Uncorrected energy ... -8.22 eV/atom

Lattice parameters (Å, degrees): 6.134 6.134 6.134 59.30 59.30 59.30
Fractional positions:
K: 0.000 0.000 0.000
Na: 0.520 0.520 0.520
Pa: 0.248 0.248 0.248
Pa: 0.750 0.750 0.750
O: 0.074 0.497 0.923
O: 0.448 0.989 0.549
O: 0.497 0.923 0.074
O: 0.549 0.448 0.989
O: 0.923 0.074 0.497
O: 0.989 0.549 0.448

Record 3
Entry from the Alexandria database: an optimized crystal structure of K2NaPa2O7 (PBE).

Properties
V ... 214 Å³ per cell
Uncorrected energy ... -7.48 eV/atom

Lattice parameters (Å, degrees): 11.569 11.569 11.569 158.17 158.17 31.07
Fractional positions:
K: 0.192 0.192 0.000
K: 0.808 0.808 0.000
Na: 0.000 0.000 0.000
Pa: 0.403 0.403 0.000
Pa: 0.597 0.597 0.000
O: 0.093 0.593 0.500
O: 0.312 0.312 0.000
O: 0.407 0.907 0.500
O: 0.500 0.500 0.000
O: 0.593 0.093 0.500
O: 0.688 0.688 0.000
O: 0.907 0.407 0.500

Please write out number 1 again, unchanged.
Entry from the Alexandria database: an optimized crystal structure of K2Na2PaO4 (PBE).

Properties
V ... 179 Å³ per cell
Uncorrected energy ... -5.91 eV/atom

Lattice parameters (Å, degrees): 7.641 7.641 6.729 95.54 95.54 27.27
Fractional positions:
K: 0.108 0.108 0.049
K: 0.892 0.892 0.951
Na: 0.304 0.304 0.378
Na: 0.696 0.696 0.622
Pa: 0.000 0.000 0.500
O: 0.136 0.136 0.446
O: 0.471 0.471 0.290
O: 0.529 0.529 0.710
O: 0.864 0.864 0.554